# CaTcSb2 | the Alexandria database | GGA-PBE | relaxed
data_CaTcSb2
_space_group_name_H-M_alt 'P 1'
_space_group_IT_number 1
_space_group_name_Hall 'P 1'
_cell_length_a 8.080
_cell_length_b 8.080
_cell_length_c 8.080
_cell_angle_alpha 155.67
_cell_angle_beta 153.50
_cell_angle_gamma 36.28
loop_
_atom_site_label
_atom_site_fract_x
_atom_site_fract_y
_atom_site_fract_z
Sb1 0.970 0.970 0.000
Sb2 0.679 0.179 0.500
Ca1 0.307 0.807 0.500
Tc1 0.544 0.544 0.000
# - E above lowest polymorph (meV per atom) = 31

# YNi4Rh | the Alexandria database | GGA-PBE | relaxed
data_YNi4Rh
_space_group_name_H-M_alt 'P 1'
_space_group_IT_number 1
_space_group_name_Hall 'P 1'
_cell_length_a 4.889
_cell_length_b 4.889
_cell_length_c 4.889
_cell_angle_alpha 60.00
_cell_angle_beta 60.00
_cell_angle_gamma 60.00
loop_
_atom_site_label
_atom_site_fract_x
_atom_site_fract_y
_atom_site_fract_z
Ni1 0.128 0.624 0.624
Ni2 0.624 0.624 0.624
Ni3 0.624 0.128 0.624
Ni4 0.624 0.624 0.128
Rh1 0.250 0.250 0.250
Y1 0.000 0.000 0.000
# - E_form (eV per atom) = -0.251
# - E above lowest polymorph (meV per atom) = 0

# K2SiW | the Alexandria database | GGA-PBE | relaxed
data_K2SiW
_space_group_name_H-M_alt 'P 1'
_space_group_IT_number 1
_space_group_name_Hall 'P 1'
_cell_length_a 6.901
_cell_length_b 6.901
_cell_length_c 6.901
_cell_angle_alpha 150.73
_cell_angle_beta 127.84
_cell_angle_gamma 60.94
loop_
_atom_site_label
_atom_site_fract_x
_atom_site_fract_y
_atom_site_fract_z
K1 0.014 0.014 0.000
K2 0.709 0.209 0.500
Si1 0.457 0.457 0.000
W1 0.320 0.820 0.500
# - E (eV/atom) = -4.1627

# K2TaZn2O6 | the Alexandria database | GGA-PBE | relaxed
data_K2TaZn2O6
_space_group_name_H-M_alt 'P 1'
_space_group_IT_number 1
_space_group_name_Hall 'P 1'
_cell_length_a 5.381
_cell_length_b 5.381
_cell_length_c 6.304
_cell_angle_alpha 90.00
_cell_angle_beta 90.00
_cell_angle_gamma 120.00
loop_
_atom_site_label
_atom_site_fract_x
_atom_site_fract_y
_atom_site_fract_z
K1 0.667 0.333 0.500
K2 0.333 0.667 0.500
Ta1 0.000 0.000 0.000
Zn1 0.333 0.667 0.000
Zn2 0.667 0.333 0.000
O1 0.000 0.316 0.826
O2 0.684 0.684 0.826
O3 0.316 0.000 0.826
O4 0.000 0.684 0.174
O5 0.316 0.316 0.174
O6 0.684 0.000 0.174
# - E (eV/atom) = -5.9799

# Rb2SmZn2S4 | the Alexandria database | GGA-PBE | relaxed
data_Rb2SmZn2S4
_space_group_name_H-M_alt 'P 1'
_space_group_IT_number 1
_space_group_name_Hall 'P 1'
_cell_length_a 3.973
_cell_length_b 8.111
_cell_length_c 8.271
_cell_angle_alpha 112.12
_cell_angle_beta 103.90
_cell_angle_gamma 90.00
loop_
_atom_site_label
_atom_site_fract_x
_atom_site_fract_y
_atom_site_fract_z
Rb1 0.129 0.558 0.258
Rb2 0.871 0.442 0.742
Sm1 0.000 0.000 0.000
Zn1 0.683 0.017 0.366
Zn2 0.317 0.983 0.634
S1 0.189 0.197 0.379
S2 0.811 0.803 0.621
S3 0.536 0.788 0.071
S4 0.464 0.212 0.929
# - E (eV/atom) = -3.9976

# Th4Ru2Pb3 | the Alexandria database | GGA-PBE | relaxed
data_Th4Ru2Pb3
_space_group_name_H-M_alt 'P 1'
_space_group_IT_number 1
_space_group_name_Hall 'P 1'
_cell_length_a 6.345
_cell_length_b 8.927
_cell_length_c 8.927
_cell_angle_alpha 80.38
_cell_angle_beta 89.51
_cell_angle_gamma 89.51
loop_
_atom_site_label
_atom_site_fract_x
_atom_site_fract_y
_atom_site_fract_z
Th1 0.501 0.972 0.229
Th2 0.999 0.771 0.028
Th3 0.499 0.028 0.771
Th4 0.001 0.229 0.972
Th5 0.254 0.261 0.431
Th6 0.246 0.569 0.739
Th7 0.746 0.739 0.569
Th8 0.754 0.431 0.261
Ru1 0.661 0.127 0.468
Ru2 0.839 0.532 0.873
Ru3 0.339 0.873 0.532
Ru4 0.161 0.468 0.127
Pb1 0.991 0.994 0.301
Pb2 0.509 0.699 0.006
Pb3 0.009 0.006 0.699
Pb4 0.491 0.301 0.994
Pb5 0.250 0.634 0.366
Pb6 0.750 0.366 0.634
# - E_form (eV per atom) = -0.264

Number 5 is which compound? Rb2SmZn2S4

Repeat the fifth record exactly.
# Rb2SmZn2S4 | the Alexandria database | GGA-PBE | relaxed
data_Rb2SmZn2S4
_space_group_name_H-M_alt 'P 1'
_space_group_IT_number 1
_space_group_name_Hall 'P 1'
_cell_length_a 3.973
_cell_length_b 8.111
_cell_length_c 8.271
_cell_angle_alpha 112.12
_cell_angle_beta 103.90
_cell_angle_gamma 90.00
loop_
_atom_site_label
_atom_site_fract_x
_atom_site_fract_y
_atom_site_fract_z
Rb1 0.129 0.558 0.258
Rb2 0.871 0.442 0.742
Sm1 0.000 0.000 0.000
Zn1 0.683 0.017 0.366
Zn2 0.317 0.983 0.634
S1 0.189 0.197 0.379
S2 0.811 0.803 0.621
S3 0.536 0.788 0.071
S4 0.464 0.212 0.929
# - E (eV/atom) = -3.9976

Which formula does entry 4 have? K2TaZn2O6

What is the formula in the fifth record? Rb2SmZn2S4